[1]
This record from the Alexandria database describes a geometry-optimized Na3Np3MnS8 structure. The functional is PBE.

a b c (Å): 8.0847 8.0847 8.0847
angles (deg): 57.95 57.95 57.95
With the nearest neighbours (Å) after each atom.
Fractional coordinates of all 15 atoms:
1 Na 0.0000 0.5000 0.5000  6 S 2.90-2.94
2 Na 0.5000 0.0000 0.5000  6 S 2.90-2.94
3 Na 0.5000 0.5000 0.0000  6 S 2.90-2.94
4 Np 0.0000 0.0000 0.5000  6 S 2.71-2.73
5 Np 0.0000 0.5000 0.0000  6 S 2.71-2.73
6 Np 0.5000 0.0000 0.0000  6 S 2.71-2.73
7 Mn 0.5000 0.5000 0.5000  6 S 2.60
8 S 0.2429 0.2429 0.2429  3 Np 2.73, 3 Na 2.90
9 S 0.2496 0.7314 0.7314  1 Mn 2.60, 2 Np 2.71
10 S 0.2686 0.2686 0.7504  1 Mn 2.60, 2 Np 2.71
11 S 0.2686 0.7504 0.2686  1 Mn 2.60, 2 Np 2.71
12 S 0.7314 0.2496 0.7314  1 Mn 2.60, 2 Np 2.71
13 S 0.7314 0.7314 0.2496  1 Mn 2.60, 2 Np 2.71
14 S 0.7504 0.2686 0.2686  1 Mn 2.60, 2 Np 2.71
15 S 0.7571 0.7571 0.7571  3 Np 2.73, 3 Na 2.90

Computed properties:
N(E_F), states/eV per atom: 1.974
Formation energy from raw total energies, eV/atom: -1.214
Calculated total energy, eV/atom: -6.88
M_tot, μB/atom: 1.00

=====

[2]
This record from the Alexandria database describes a geometry-optimized SrSnH6Pd2 structure. The functional is PBE.

a b c (Å): 7.3845 7.3845 4.6857
angles (deg): 93.78 93.78 112.05
With the nearest neighbours (Å) after each atom.
Fractional coordinates of all 20 atoms:
1 Sr 0.1694 0.8306 0.7500  10 H 2.54-2.76
2 Sr 0.8306 0.1694 0.2500  10 H 2.54-2.76
3 Sn 0.3941 0.6059 0.2500  2 H 2.17
4 Sn 0.6059 0.3941 0.7500  2 H 2.17
5 H 0.0391 0.6706 0.2002  1 Pd 1.67
6 H 0.1510 0.1523 0.9948  2 Pd 1.74-1.79
7 H 0.1523 0.1510 0.4948  2 Pd 1.74-1.79
8 H 0.1752 0.5042 0.5532  1 Pd 1.66
9 H 0.3294 0.9609 0.2998  1 Pd 1.67
10 H 0.4958 0.8248 0.9468  1 Pd 1.66
11 H 0.5042 0.1752 0.0532  1 Pd 1.66
12 H 0.6706 0.0391 0.7002  1 Pd 1.67
13 H 0.8248 0.4958 0.4468  1 Pd 1.66
14 H 0.8477 0.8490 0.5052  2 Pd 1.74-1.79
15 H 0.8490 0.8477 0.0052  2 Pd 1.74-1.79
16 H 0.9609 0.3294 0.7998  1 Pd 1.67
17 Pd 0.1895 0.3417 0.7744  4 H 1.66-1.79
18 Pd 0.3417 0.1895 0.2744  4 H 1.66-1.79
19 Pd 0.6583 0.8105 0.7256  4 H 1.66-1.79
20 Pd 0.8105 0.6583 0.2256  4 H 1.66-1.79

Computed properties:
N(E_F), states/eV per atom: 0.240
Calculated total energy, eV/atom: -3.83
M_tot, μB/atom: 0.00

=====

[3]
This record from the Alexandria database describes a geometry-optimized Sm3MnB7 structure. The functional is PBE.

a b c (Å): 8.2482 8.2482 9.4834
angles (deg): 90.00 90.00 155.52
With the nearest neighbours (Å) after each atom.
Fractional coordinates of all 22 atoms:
1 Sm 0.1034 0.8966 0.5612  11 B 2.66-2.79
2 Sm 0.1034 0.8966 0.9388  11 B 2.66-2.79
3 Sm 0.2412 0.7588 0.2500  10 B 2.66-2.72
4 Sm 0.7588 0.2412 0.7500  10 B 2.66-2.72
5 Sm 0.8966 0.1034 0.0612  11 B 2.66-2.79
6 Sm 0.8966 0.1034 0.4388  11 B 2.66-2.79
7 Mn 0.0555 0.9445 0.2500  10 B 2.28-2.31
8 Mn 0.9445 0.0555 0.7500  10 B 2.28-2.31
9 B 0.2731 0.7269 0.5311  3 B 1.95-1.99
10 B 0.2731 0.7269 0.9689  3 B 1.95-1.99
11 B 0.3698 0.6302 0.6539  3 B 1.79-1.95
12 B 0.3698 0.6302 0.8461  3 B 1.79-1.95
13 B 0.4649 0.5351 0.2500  2 B 1.70
14 B 0.4761 0.5239 0.6012  2 B 1.70-1.79
15 B 0.4761 0.5239 0.8988  2 B 1.70-1.79
16 B 0.5239 0.4761 0.1012  2 B 1.70-1.79
17 B 0.5239 0.4761 0.3988  2 B 1.70-1.79
18 B 0.5351 0.4649 0.7500  2 B 1.70
19 B 0.6302 0.3698 0.1539  3 B 1.79-1.95
20 B 0.6302 0.3698 0.3461  3 B 1.79-1.95
21 B 0.7269 0.2731 0.0311  3 B 1.95-1.99
22 B 0.7269 0.2731 0.4689  3 B 1.95-1.99

Computed properties:
N(E_F), states/eV per atom: 0.451
Calculated total energy, eV/atom: -6.84
M_tot, μB/atom: 0.02